The following is a DFT calculation (PBE) of crystalline SnSeO2 at its relaxed geometry. Values from VASP.

```
&SYSTEM
  ibrav = 0, nat = 4, ntyp = 3
/
ATOMIC_SPECIES
O 16.00 O.upf
Sn 118.71 Sn.upf
Se 78.96 Se.upf
CELL_PARAMETERS angstrom
2.417 -6.110 1.441
4.070 -5.171 -1.394
5.121 -4.037 1.650
ATOMIC_POSITIONS crystal
O 0.887 0.887 0.887
O 0.113 0.113 0.113
Sn 0.500 0.500 0.500
Se 0.000 0.000 0.000
```

E_form (uncorrected)   -0.648 eV per atom
M_tot   0.00 Bohr magnetons per cell
Offset from the most stable computed form   0 meV per atom
Space-group type   R-3m, No. 166
Crystal system   trigonal

***

The following is a DFT calculation (PBE) of crystalline CuSnAu3 at its relaxed geometry. Values from VASP.

```
&SYSTEM
  ibrav = 0, nat = 10, ntyp = 3
/
ATOMIC_SPECIES
Cu 63.55 Cu.upf
Sn 118.71 Sn.upf
Au 196.97 Au.upf
CELL_PARAMETERS angstrom
5.010 0.294 1.321
1.489 4.931 0.675
0.048 0.507 7.600
ATOMIC_POSITIONS crystal
Cu 0.784 0.892 0.058
Cu 0.626 0.298 0.557
Sn 0.310 0.393 0.996
Sn 0.101 0.796 0.618
Au 0.180 0.327 0.417
Au 0.909 0.297 0.807
Au 0.663 0.816 0.420
Au 0.749 0.372 0.194
Au 0.231 0.861 0.197
Au 0.502 0.891 0.808
```

M_tot   0.00 Bohr magnetons per cell
DFT formation energy   -3.1 kJ/mol of atoms
Offset from the most stable computed form   0 meV per atom
Space-group type   P-1, No. 2
Crystal system   triclinic

***

The following is a DFT calculation (PBE) of crystalline CaRuW2 at its relaxed geometry. Values from VASP.

```
&SYSTEM
  ibrav = 0, nat = 4, ntyp = 3
/
ATOMIC_SPECIES
Ru 101.07 Ru.upf
Ca 40.08 Ca.upf
W 183.84 W.upf
CELL_PARAMETERS angstrom
5.299 0.003 0.012
-2.360 4.979 -0.010
0.579 0.733 2.598
ATOMIC_POSITIONS crystal
Ru 0.500 0.500 0.000
Ca 0.000 0.500 0.500
W 0.000 0.000 0.000
W 0.500 0.000 0.500
```

M_tot   0.07 Bohr magnetons per cell
DFT formation energy   63.4 kJ/mol of atoms
Offset from the most stable computed form   205 meV per atom
Space-group type   C2/m, No. 12
Crystal system   monoclinic

***

The following is a DFT calculation (PBE) of crystalline TbPm6Nd2Ho at its relaxed geometry. Values from VASP.

```
&SYSTEM
  ibrav = 0, nat = 20, ntyp = 4
/
ATOMIC_SPECIES
Tb 158.93 Tb.upf
Pm 145.00 Pm.upf
Nd 144.24 Nd.upf
Ho 164.93 Ho.upf
CELL_PARAMETERS angstrom
-5.761 -6.198 -5.009
7.621 -3.370 -3.252
-2.775 -2.817 8.023
ATOMIC_POSITIONS crystal
Tb 0.250 0.980 0.020
Tb 0.750 0.020 0.980
Pm 0.055 0.123 0.751
Pm 0.445 0.249 0.877
Pm 0.945 0.877 0.249
Pm 0.555 0.751 0.123
Pm 0.311 0.983 0.426
Pm 0.189 0.574 0.017
Pm 0.689 0.017 0.574
Pm 0.811 0.426 0.983
Pm 0.120 0.708 0.498
Pm 0.380 0.502 0.292
Pm 0.880 0.292 0.502
Pm 0.620 0.498 0.708
Nd 0.458 0.805 0.703
Nd 0.042 0.297 0.195
Nd 0.542 0.195 0.297
Nd 0.958 0.703 0.805
Ho 0.250 0.408 0.592
Ho 0.750 0.592 0.408
```

M_tot   0.00 Bohr magnetons per cell
DFT formation energy   11.1 kJ/mol of atoms
Space-group type   C2/c, No. 15
Crystal system   monoclinic

***

The following is a DFT calculation (PBE) of crystalline Ba5GaS8 at its relaxed geometry. Values from VASP.

```
&SYSTEM
  ibrav = 0, nat = 14, ntyp = 3
/
ATOMIC_SPECIES
Ba 137.33 Ba.upf
Ga 69.72 Ga.upf
S 32.06 S.upf
CELL_PARAMETERS angstrom
-4.483 -6.531 2.401
6.181 1.998 5.131
-5.986 5.691 -0.547
ATOMIC_POSITIONS crystal
Ba 0.018 0.397 0.147
Ba 0.853 0.871 0.250
Ba 0.750 0.603 0.621
Ba 0.500 0.000 0.500
Ba 0.379 0.129 0.982
Ga 0.250 0.500 0.750
S 0.122 0.678 0.935
S 0.065 0.186 0.743
S 0.715 0.199 0.302
S 0.698 0.413 0.897
S 0.484 0.587 0.285
S 0.556 0.814 0.878
S 0.257 0.322 0.444
S 0.103 0.801 0.516
```

E_form (uncorrected)   -1.328 eV per atom
M_tot   3.09 Bohr magnetons per cell
Space-group type   I-4, No. 82
Crystal system   tetragonal

***

The following is a DFT calculation (PBE) of crystalline Ta2BeCd at its relaxed geometry. Values from VASP.

```
&SYSTEM
  ibrav = 0, nat = 4, ntyp = 3
/
ATOMIC_SPECIES
Be 9.01 Be.upf
Cd 112.41 Cd.upf
Ta 180.95 Ta.upf
CELL_PARAMETERS angstrom
2.842 0.009 0.000
-0.316 2.824 0.000
0.000 0.000 8.199
ATOMIC_POSITIONS crystal
Be 0.000 0.000 0.496
Cd 0.500 0.500 0.712
Ta 0.000 0.000 0.004
Ta 0.500 0.500 0.288
```

M_tot   0.00 Bohr magnetons per cell
DFT formation energy   18.5 kJ/mol of atoms
Offset from the most stable computed form   78 meV per atom
Space-group type   Cmm2, No. 35
Crystal system   orthorhombic

***

The following is a DFT calculation (PBE) of crystalline Li3Tm2GaO6 at its relaxed geometry. Values from VASP.

```
&SYSTEM
  ibrav = 0, nat = 12, ntyp = 4
/
ATOMIC_SPECIES
Li 6.94 Li.upf
Tm 168.93 Tm.upf
Ga 69.72 Ga.upf
O 16.00 O.upf
CELL_PARAMETERS angstrom
5.580 -0.051 0.059
-2.833 4.808 0.059
-0.863 -1.494 4.975
ATOMIC_POSITIONS crystal
Li 0.133 0.867 0.500
Li 0.867 0.133 0.500
Li 0.500 0.500 0.500
Tm 0.332 0.668 0.000
Tm 0.668 0.332 0.000
Ga 0.000 0.000 0.000
O 0.932 0.626 0.772
O 0.753 0.753 0.234
O 0.068 0.374 0.228
O 0.626 0.932 0.772
O 0.247 0.247 0.766
O 0.374 0.068 0.228
```

E_form (uncorrected)   -2.571 eV per atom
M_tot   0.00 Bohr magnetons per cell
Space-group type   C2/m, No. 12
Crystal system   monoclinic

***

The following is a DFT calculation (PBE) of crystalline LiSF3 at its relaxed geometry. Values from VASP.

```
&SYSTEM
  ibrav = 0, nat = 5, ntyp = 3
/
ATOMIC_SPECIES
S 32.06 S.upf
Li 6.94 Li.upf
F 19.00 F.upf
CELL_PARAMETERS angstrom
-1.041 2.077 -2.909
2.499 -1.743 -2.138
-2.555 -2.551 -0.907
ATOMIC_POSITIONS crystal
S 0.500 0.500 0.500
Li 0.000 0.000 0.000
F 0.000 0.500 0.000
F 0.000 0.000 0.500
F 0.500 0.000 0.000
```

E_form (uncorrected)   -0.983 eV per atom
M_tot   0.00 Bohr magnetons per cell
Offset from the most stable computed form   147 meV per atom
Space-group type   Pm-3m, No. 221
Crystal system   cubic